! CrNiW2 | Alexandria | PBE-GGA | relaxed; values from VASP
&SYSTEM
  ibrav = 0, nat = 4, ntyp = 3
/
ATOMIC_SPECIES
Ni 58.69 Ni.upf
Cr 52.00 Cr.upf
W 183.84 W.upf
CELL_PARAMETERS angstrom
-2.451 3.576 0.270
-2.054 -1.334 -0.979
-1.825 -1.573 4.256
ATOMIC_POSITIONS angstrom
Ni -3.914 -0.253 2.753
Cr -2.060 -1.526 1.503
W -2.286 0.992 1.039
W -1.835 -1.571 4.145
! **Total energy**: -10.156 eV per atom
! **Calculated volume**: 13.89 A^3/atom
! **Density of states at the Fermi level**: 1.063 states/eV per atom

---

! CrNiW2 | Alexandria | PBE-GGA | relaxed; values from VASP
&SYSTEM
  ibrav = 0, nat = 4, ntyp = 3
/
ATOMIC_SPECIES
W 183.84 W.upf
Cr 52.00 Cr.upf
Ni 58.69 Ni.upf
CELL_PARAMETERS angstrom
2.651 -0.013 0.000
-0.789 2.531 0.000
0.000 0.000 8.301
ATOMIC_POSITIONS angstrom
W 0.000 0.000 8.276
Cr 0.931 1.259 2.075
W 0.000 0.000 4.176
Ni 0.931 1.259 6.226
! **Total energy**: -10.207 eV per atom
! **Calculated volume**: 13.90 A^3/atom
! **Density of states at the Fermi level**: 0.890 states/eV per atom

---

Number 1: energy of formation from the pure elements 0.69 eV per formula unit, ΔE to the lowest computed polymorph 0.21 eV/f.u.. Number 2: energy of formation from the pure elements 0.48 eV per formula unit, ΔE to the lowest computed polymorph 0.00 eV/f.u..